No. 1
BaTaTlIn2: optimized geometry, PBE.

Geometry as POSCAR:
```
BaTaTlIn2
1.0
5.527 0.000 0.000
0.000 5.789 0.000
0.000 0.000 5.527
Tl In Ba Ta
1 2 1 1
direct
0.500 0.500 0.500
0.000 0.000 0.500
0.500 0.000 0.000
0.000 0.500 0.000
0.000 0.000 0.000
```

No. 2
NpSi2Pt7Pb2: optimized geometry, PBE.

Geometry as POSCAR:
```
NpSi2Pt7Pb2
1.0
-0.085 -1.913 -3.492
-2.211 -2.882 1.633
-13.977 5.238 -4.806
Np Si Pt Pb
1 2 7 2
direct
0.000 0.000 0.000
0.619 0.619 0.764
0.381 0.381 0.236
0.500 0.500 0.000
0.306 0.306 0.386
0.694 0.694 0.614
0.926 0.426 0.147
0.426 0.926 0.147
0.574 0.074 0.853
0.074 0.574 0.853
0.789 0.789 0.420
0.211 0.211 0.580
```

No. 3
TmInNi: optimized geometry, PBE.

Geometry as POSCAR:
```
TmInNi
1.0
-2.509 -0.302 -2.067
-0.577 -3.005 1.139
-1.898 3.780 4.332
Ni Tm In
1 1 1
direct
0.947 0.947 0.893
0.595 0.595 0.190
0.308 0.308 0.617
```

No. 4
Sm3TiTl3Se8: optimized geometry, PBE.

Geometry as POSCAR:
```
Sm3TiTl3Se8
1.0
-0.510 -1.833 8.048
4.359 -4.857 -5.079
3.668 8.148 2.089
Sm Ti Tl Se
3 1 3 8
direct
0.500 0.000 0.500
0.500 0.500 0.500
0.000 0.500 0.500
0.000 0.000 0.500
0.000 0.000 0.000
0.000 0.500 0.000
0.500 0.500 0.000
0.263 0.526 0.288
0.737 0.474 0.712
0.784 0.569 0.305
0.216 0.431 0.695
0.784 0.021 0.305
0.216 0.979 0.695
0.236 0.021 0.305
0.764 0.979 0.695
```

No. 5
BaNaTl2S4: optimized geometry, PBE.

Geometry as POSCAR:
```
BaNaTl2S4
1.0
-4.379 5.823 -0.905
-4.235 0.649 -5.117
-6.400 0.109 1.890
Ba Na Tl S
1 1 2 4
direct
0.000 0.000 0.000
0.500 0.500 0.500
0.250 0.250 0.250
0.750 0.750 0.750
0.462 0.090 0.537
0.089 0.910 0.463
0.911 0.537 0.090
0.538 0.463 0.910
```

No. 6
Sm2Pd9Au: optimized geometry, PBE.

Geometry as POSCAR:
```
Sm2Pd9Au
1.0
-2.668 -2.841 -1.321
2.668 -1.151 -2.914
4.943 -8.263 7.790
Sm Pd Au
2 9 1
direct
0.000 0.000 0.328
0.000 0.000 0.672
0.500 0.500 0.000
0.500 0.500 0.331
0.500 0.500 0.669
0.500 0.000 0.159
0.500 0.000 0.500
0.500 0.000 0.841
0.000 0.500 0.159
0.000 0.500 0.500
0.000 0.500 0.841
0.000 0.000 0.000
```

No. 7
HfSb2Br: optimized geometry, PBE.

Geometry as POSCAR:
```
HfSb2Br
1.0
0.355 -3.908 3.431
-3.179 -4.112 -0.396
1.890 -4.621 -1.499
Sb Hf Br
2 1 1
direct
0.250 0.250 0.250
0.750 0.750 0.750
0.500 0.500 0.500
0.000 0.000 0.000
```

No. 8
HfNbCo4: optimized geometry, PBE.

Geometry as POSCAR:
```
HfNbCo4
1.0
-2.500 -2.346 3.374
1.330 -4.425 1.337
1.922 -0.723 4.350
Co Nb Hf
4 1 1
direct
0.626 0.625 0.124
0.626 0.124 0.625
0.626 0.625 0.625
0.124 0.625 0.625
0.250 0.250 0.250
0.000 0.000 0.000
```

No. 9
La3AlCd: optimized geometry, PBE.

Geometry as POSCAR:
```
La3AlCd
1.0
-4.978 0.904 2.264
-2.090 -4.259 -2.895
-0.234 -5.692 8.544
La Al Cd
6 2 2
direct
0.757 0.250 0.134
0.381 0.250 0.886
0.571 0.250 0.505
0.267 0.750 0.114
0.891 0.750 0.866
0.077 0.750 0.495
0.477 0.750 0.695
0.172 0.250 0.305
0.671 0.750 0.306
0.977 0.250 0.694
```

No. 10
Pu5Ge2Ru: optimized geometry, PBE.

Geometry as POSCAR:
```
Pu5Ge2Ru
1.0
3.049 0.000 0.000
-1.525 10.299 0.000
0.000 0.000 11.672
Pu Ge Ru
10 4 2
direct
0.950 0.900 0.903
0.950 0.900 0.597
0.318 0.636 0.525
0.318 0.636 0.975
0.767 0.534 0.250
0.233 0.466 0.750
0.682 0.364 0.475
0.682 0.364 0.025
0.050 0.100 0.097
0.050 0.100 0.403
0.904 0.808 0.358
0.904 0.808 0.142
0.096 0.192 0.642
0.096 0.192 0.858
0.860 0.719 0.750
0.140 0.281 0.250
```

No. 11
LuSi: optimized geometry, PBE.

Geometry as POSCAR:
```
LuSi
1.0
-1.467 0.201 3.464
-3.469 -1.875 -1.360
3.771 -3.652 1.809
Si Lu
2 2
direct
0.250 0.079 0.157
0.750 0.921 0.843
0.250 0.360 0.719
0.750 0.640 0.281
```

No. 12
La2Ti2Ir: optimized geometry, PBE.

Geometry as POSCAR:
```
La2Ti2Ir
1.0
4.983 0.000 0.000
0.000 4.983 0.000
0.000 0.000 5.496
Ir Ti La
1 2 2
direct
0.000 0.000 0.000
0.000 0.500 0.000
0.500 0.000 0.000
0.500 0.500 0.500
0.000 0.000 0.500
```

Number 1: DFT total energy -3.7971 eV/atom, spin magnetization 0.00 μB per cell. Number 2: DFT total energy -6.6048 eV/atom, spin magnetization 3.37 μB per cell. Number 3: DFT total energy -4.6688 eV/atom, spin magnetization 0.00 μB per cell. Number 4: DFT total energy -5.0921 eV/atom, spin magnetization 0.00 μB per cell. Number 5: DFT total energy -3.7781 eV/atom, spin magnetization 0.00 μB per cell. Number 6: DFT total energy -5.4911 eV/atom, spin magnetization 0.00 μB per cell. Number 7: DFT total energy -4.7394 eV/atom, spin magnetization 0.00 μB per cell. Number 8: DFT total energy -8.3336 eV/atom, spin magnetization 1.29 μB per cell. Number 9: DFT total energy -4.1435 eV/atom, spin magnetization 0.00 μB per cell. Number 10: DFT total energy -11.2208 eV/atom, spin magnetization 11.10 μB per cell. Number 11: DFT total energy -5.7704 eV/atom, spin magnetization 0.00 μB per cell. Number 12: DFT total energy -6.8526 eV/atom, spin magnetization 1.57 μB per cell.